The following is a DFT calculation (PBE-GGA) of LiBi2I2O2 after structural relaxation.

Cell: 4.173 4.173 10.261 Å, 90.00 90.00 90.00°
Positions (direct):
Li 0.000 0.000 0.000
Bi 0.000 0.000 0.325
Bi 0.500 0.500 0.544
I 0.000 0.000 0.732
I 0.500 0.500 0.083
O 0.000 0.500 0.429
O 0.500 0.000 0.429

The space group is P4mm, No. 99. Its energy above the most stable polymorph in this dataset is 0.018 eV/atom. Its total energy is -29.0 eV for the cell shown. The calculation puts the uncorrected formation energy at -20.9 kcal/mol of atoms.